# 1
# PBE ZnFeW3, relaxed
# **Energy of formation from the pure elements**: 6.9 eV per formula unit
# **Spin magnetization**: 0.000 μB per atom
data_ZnFeW3
_cell_length_a 4.462
_cell_length_b 4.462
_cell_length_c 4.462
_cell_angle_alpha 90.00
_cell_angle_beta 90.00
_cell_angle_gamma 90.00
_symmetry_space_group_name_H-M 'P 1'
_symmetry_Int_Tables_number 1
loop_
_symmetry_equiv_pos_as_xyz
'x,y,z'
loop_
_atom_site_label
_atom_site_fract_x
_atom_site_fract_y
_atom_site_fract_z
_atom_site_occupancy
Zn1 0.000 0.000 0.000 1
Fe1 0.500 0.500 0.500 1
W1 0.000 0.500 0.500 1
W2 0.500 0.000 0.500 1
W3 0.500 0.500 0.000 1

***

# 2
# PBE KBr4O12, relaxed
# **Uncorrected formation energy**: 666 meV/atom
# **Spin magnetization**: 0.158 μB per atom
data_KBr4O12
_cell_length_a 6.580
_cell_length_b 6.580
_cell_length_c 6.580
_cell_angle_alpha 109.47
_cell_angle_beta 109.47
_cell_angle_gamma 109.47
_symmetry_space_group_name_H-M 'P 1'
_symmetry_Int_Tables_number 1
loop_
_symmetry_equiv_pos_as_xyz
'x,y,z'
loop_
_atom_site_label
_atom_site_fract_x
_atom_site_fract_y
_atom_site_fract_z
_atom_site_occupancy
K1 0.000 0.000 0.000 1
Br1 0.000 0.000 0.500 1
Br2 0.000 0.500 0.000 1
Br3 0.500 0.000 0.000 1
Br4 0.500 0.500 0.500 1
O1 0.103 0.805 0.298 1
O2 0.195 0.298 0.494 1
O3 0.195 0.702 0.897 1
O4 0.298 0.103 0.805 1
O5 0.298 0.494 0.195 1
O6 0.494 0.195 0.298 1
O7 0.506 0.805 0.702 1
O8 0.702 0.506 0.805 1
O9 0.702 0.897 0.195 1
O10 0.805 0.298 0.103 1
O11 0.805 0.702 0.506 1
O12 0.897 0.195 0.702 1

***

# 3
# PBE KMgAg2, relaxed
# **Energy of formation from the pure elements**: 0.6 eV per formula unit
# **Spin magnetization**: 0.000 μB per atom
data_KMgAg2
_cell_length_a 10.445
_cell_length_b 10.445
_cell_length_c 10.445
_cell_angle_alpha 17.88
_cell_angle_beta 17.88
_cell_angle_gamma 17.88
_symmetry_space_group_name_H-M 'P 1'
_symmetry_Int_Tables_number 1
loop_
_symmetry_equiv_pos_as_xyz
'x,y,z'
loop_
_atom_site_label
_atom_site_fract_x
_atom_site_fract_y
_atom_site_fract_z
_atom_site_occupancy
K1 0.000 0.000 0.000 1
Mg1 0.500 0.500 0.500 1
Ag1 0.239 0.239 0.239 1
Ag2 0.761 0.761 0.761 1

***

# 4
# PBE MgNiAu2, relaxed
# **Energy of formation from the pure elements**: -1.2 eV per formula unit
# **Spin magnetization**: 0.000 μB per atom
data_MgNiAu2
_cell_length_a 4.940
_cell_length_b 4.940
_cell_length_c 4.940
_cell_angle_alpha 132.73
_cell_angle_beta 132.73
_cell_angle_gamma 69.07
_symmetry_space_group_name_H-M 'P 1'
_symmetry_Int_Tables_number 1
loop_
_symmetry_equiv_pos_as_xyz
'x,y,z'
loop_
_atom_site_label
_atom_site_fract_x
_atom_site_fract_y
_atom_site_fract_z
_atom_site_occupancy
Mg1 0.000 0.000 0.000 1
Ni1 0.250 0.750 0.500 1
Au1 0.500 0.500 0.000 1
Au2 0.750 0.250 0.500 1